1.
Computed, not measured: CoCuGeRh after structural relaxation at the GGA-PBE level of DFT.

Total magnetic moment in μB per formula unit: 0.0
Calculated total energy in eV/atom: -5.982
Crystal system: cubic
Energy relative to the elements in eV per formula unit: -0.76

abc: 4.148 4.148 4.148
angles: 60.00 60.00 60.00
Positions (direct):
Co 0.000 0.000 0.000
Ge 0.250 0.250 0.250
Cu 0.750 0.750 0.750
Rh 0.500 0.500 0.500


2.
Computed, not measured: PrSmEr2 after structural relaxation at the GGA-PBE level of DFT.

Total magnetic moment in μB per formula unit: 0.0
Calculated total energy in eV/atom: -4.637
Offset from the most stable computed form in meV per atom: 3
Crystal system: monoclinic
Energy relative to the elements in eV per formula unit: 0.08

abc: 9.297 9.272 9.272
angles: 85.54 133.81 133.81
Positions (direct):
Er 0.753 0.419 0.083
Er 0.247 0.581 0.917
Er 0.253 0.083 0.419
Er 0.747 0.917 0.581
Pr 0.250 0.415 0.585
Pr 0.750 0.585 0.415
Sm 0.250 0.915 0.085
Sm 0.750 0.085 0.915